# 1
TbTm8Mg2 after structural relaxation, computed with GGA-PBE.

Output
Its density is 7.81 g/cm3. As for the electronic total energy: -3.801 eV per atom. For the energy relative to the elements, the calculation gives 0.162 eV per atom. Its total magnetization is 0.00 μB per atom.

Cell: 8.6271 15.2770 5.5548 Å, 90.00 115.12 90.00°
Space group C2/m (No. 12)
One atom of each set of equivalent atoms:
1 Tb 0.0000 0.0000 0.0000 (multiplicity 2)
2 Tm 0.0000 0.2132 0.0000 (multiplicity 4)
3 Tm 0.0946 0.5000 0.7980 (multiplicity 4)
4 Tm 0.2092 0.1113 0.6291 (multiplicity 8)
5 Mg 0.0000 0.3068 0.5000 (multiplicity 4)


# 2
Tb2TmMg4 after structural relaxation, computed with GGA-PBE.

Output
Its density is 3.95 g/cm3. As for the electronic total energy: -2.273 eV per atom. For the energy relative to the elements, the calculation gives 0.600 eV per atom. Its total magnetization is 0.00 μB per atom. The distance to the lowest polymorph of the same formula comes out at 458 meV/atom.

Cell: 5.5317 5.5317 16.0320 Å, 90.00 90.00 90.00°
Space group I4/mmm (No. 139)
One atom of each set of equivalent atoms:
1 Tb 0.0000 0.0000 0.1039 (multiplicity 4)
2 Tm 0.0000 0.0000 0.5000 (multiplicity 2)
3 Mg 0.0000 0.0000 0.3115 (multiplicity 4)
4 Mg 0.0000 0.5000 0.0000 (multiplicity 4)


# 3
TbTm2Mg after structural relaxation, computed with GGA-PBE.

Output
Its density is 7.38 g/cm3. As for the electronic total energy: -3.745 eV per atom. For the energy relative to the elements, the calculation gives 0.047 eV per atom. Its total magnetization is 0.00 μB per atom. The distance to the lowest polymorph of the same formula comes out at 74 meV/atom.

Cell: 5.9921 3.4512 11.5148 Å, 90.00 100.07 90.00°
Space group Cm (No. 8)
One atom of each set of equivalent atoms:
1 Tb 0.0000 0.0000 0.0000 (multiplicity 2)
2 Tm 0.0823 0.5000 0.7479 (multiplicity 2)
3 Tm 0.4181 0.0000 0.2532 (multiplicity 2)
4 Mg 0.1678 0.0000 0.5003 (multiplicity 2)


# 4
Tb4Tm3Mg after structural relaxation, computed with GGA-PBE.

Output
Its density is 8.02 g/cm3. As for the electronic total energy: -4.193 eV per atom. For the energy relative to the elements, the calculation gives -0.002 eV per atom. Its total magnetization is 0.00 μB per atom. The distance to the lowest polymorph of the same formula comes out at 0 meV/atom.

Cell: 3.5398 3.5398 19.2747 Å, 90.00 90.00 90.00°
Space group P4/mmm (No. 123)
One atom of each set of equivalent atoms:
1 Tb 0.0000 0.0000 0.1157 (multiplicity 2)
2 Tb 0.0000 0.0000 0.3715 (multiplicity 2)
3 Tm 0.5000 0.5000 0.2423 (multiplicity 2)
4 Tm 0.5000 0.5000 0.5000 (multiplicity 1)
5 Mg 0.5000 0.5000 0.0000 (multiplicity 1)


# 5
Tb6Tm5Mg after structural relaxation, computed with GGA-PBE.

Output
Its density is 8.28 g/cm3. As for the electronic total energy: -4.289 eV per atom. For the energy relative to the elements, the calculation gives 0.022 eV per atom. Its total magnetization is 0.00 μB per atom.

Cell: 4.9839 9.8161 14.9342 Å, 90.00 90.00 90.00°
Space group Immm (No. 71)
One atom of each set of equivalent atoms:
1 Tb 0.0000 0.2478 0.1676 (multiplicity 8)
2 Tb 0.0000 0.2508 0.5000 (multiplicity 4)
3 Tm 0.0000 0.0000 0.3347 (multiplicity 4)
4 Tm 0.0000 0.5000 0.0000 (multiplicity 2)
5 Tm 0.0000 0.5000 0.3317 (multiplicity 4)
6 Mg 0.0000 0.0000 0.0000 (multiplicity 2)


# 6
Tb3Tm5Mg after structural relaxation, computed with GGA-PBE.

Output
Its density is 7.12 g/cm3. As for the electronic total energy: -3.677 eV per atom. For the energy relative to the elements, the calculation gives 0.528 eV per atom. Its total magnetization is 0.00 μB per atom.

Cell: 14.8446 11.2961 9.6925 Å, 90.00 129.38 90.00°
Space group C2/m (No. 12)
One atom of each set of equivalent atoms:
1 Tb 0.0000 0.0000 0.0000 (multiplicity 2)
2 Tb 0.0000 0.5000 0.5000 (multiplicity 2)
3 Tb 0.0117 0.0000 0.3188 (multiplicity 4)
4 Tb 0.0202 0.5000 0.8602 (multiplicity 4)
5 Tm 0.0000 0.2396 0.5000 (multiplicity 4)
6 Tm 0.1561 0.2472 0.2542 (multiplicity 8)
7 Tm 0.2192 0.5000 0.5290 (multiplicity 4)
8 Tm 0.2245 0.0000 0.7411 (multiplicity 4)
9 Mg 0.2485 0.0000 0.1081 (multiplicity 4)


# 7
Tb2Tm9Mg after structural relaxation, computed with GGA-PBE.

Output
Its density is 8.63 g/cm3. As for the electronic total energy: -4.233 eV per atom. For the energy relative to the elements, the calculation gives 0.025 eV per atom. Its total magnetization is 0.00 μB per atom.

Cell: 4.9208 4.9208 14.8037 Å, 90.00 90.00 90.00°
Space group P4/mmm (No. 123)
One atom of each set of equivalent atoms:
1 Tb 0.0000 0.0000 0.1674 (multiplicity 2)
2 Tm 0.0000 0.5000 0.0000 (multiplicity 2)
3 Tm 0.0000 0.5000 0.3356 (multiplicity 4)
4 Tm 0.5000 0.5000 0.1711 (multiplicity 2)
5 Tm 0.5000 0.5000 0.5000 (multiplicity 1)
6 Mg 0.0000 0.0000 0.5000 (multiplicity 1)


# 8
Tb2TmMg4 after structural relaxation, computed with GGA-PBE.

Output
Its density is 4.67 g/cm3. As for the electronic total energy: -2.731 eV per atom. For the energy relative to the elements, the calculation gives 0.142 eV per atom. Its total magnetization is 0.06 μB per atom. The distance to the lowest polymorph of the same formula comes out at 0 meV/atom.

Cell: 5.3810 5.3810 14.3496 Å, 90.00 90.00 90.00°
Space group I4/mmm (No. 139)
One atom of each set of equivalent atoms:
1 Tb 0.0000 0.0000 0.2501 (multiplicity 4)
2 Tm 0.0000 0.0000 0.0000 (multiplicity 2)
3 Mg 0.0000 0.5000 0.1154 (multiplicity 8)


# 9
TbTm2Mg7 after structural relaxation, computed with GGA-PBE.

Output
Its density is 4.03 g/cm3. As for the electronic total energy: -2.244 eV per atom. For the energy relative to the elements, the calculation gives 0.229 eV per atom. Its total magnetization is 0.04 μB per atom.

Cell: 7.5170 21.8987 3.3379 Å, 90.00 90.00 90.00°
Space group Cmmm (No. 65)
One atom of each set of equivalent atoms:
1 Tb 0.0000 0.0000 0.0000 (multiplicity 2)
2 Tm 0.0000 0.2606 0.5000 (multiplicity 4)
3 Mg 0.0000 0.3884 0.0000 (multiplicity 4)
4 Mg 0.0000 0.5000 0.5000 (multiplicity 2)
5 Mg 0.1890 0.1243 0.5000 (multiplicity 8)


# 10
TbTm4Mg2 after structural relaxation, computed with GGA-PBE.

Output
Its density is 6.27 g/cm3. As for the electronic total energy: -3.152 eV per atom. For the energy relative to the elements, the calculation gives 0.520 eV per atom. Its total magnetization is 0.00 μB per atom. The distance to the lowest polymorph of the same formula comes out at 483 meV/atom.

Cell: 5.1570 5.1570 30.4504 Å, 90.00 90.00 120.00°
Space group R-3m (No. 166, hexagonal axes)
One atom of each set of equivalent atoms:
1 Tb 0.0000 0.0000 0.0000 (multiplicity 3)
2 Tm 0.0000 0.0000 0.2039 (multiplicity 6)
3 Tm 0.0000 0.0000 0.3941 (multiplicity 6)
4 Mg 0.0000 0.0000 0.1003 (multiplicity 6)